# 1
The following is a DFT calculation (GGA-PBE) of a relaxed structure of TbEuS.

Structure (extended XYZ):
```
3
Lattice="-4.468 3.458 3.463 -2.828 -1.351 -2.300 0.986 -1.947 3.217" Properties=species:S:1:pos:R:3 pbc="T T T"
Tb -4.882 1.024 2.117
S -4.427 3.426 3.432
Eu -1.469 -0.833 2.295
```

Calculated values
* D(E_F): 3.05 states/eV per cell
* ρ: 6.57 g cm⁻³
* total moment: 8.11 μB per cell
* formation energy from raw total energies: -1.25 eV/atom
* space-group type: P3m1


# 2
The following is a DFT calculation (GGA-PBE) of a relaxed structure of NaLi2SeI.

Structure (extended XYZ):
```
5
Lattice="4.881 0.000 0.000 0.000 4.881 0.000 0.000 0.000 5.686" Properties=species:S:1:pos:R:3 pbc="T T T"
Na 0.000 0.000 2.843
Se 0.000 0.000 0.000
I 2.441 2.441 2.843
Li 2.441 0.000 0.000
Li 0.000 2.441 0.000
```

Calculated values
* D(E_F): 0.00 states/eV per cell
* ρ: 2.98 g cm⁻³
* total moment: 0.00 μB per cell
* formation energy from raw total energies: -1.13 eV/atom
* space-group type: P4/mmm


# 3
The following is a DFT calculation (GGA-PBE) of a relaxed structure of HfBiNO2.

Structure (extended XYZ):
```
5
Lattice="-4.138 0.683 0.618 -0.793 -4.250 -0.617 0.505 -0.697 4.151" Properties=species:S:1:pos:R:3 pbc="T T T"
Hf -2.213 -2.132 2.076
O 0.252 -0.348 2.075
O -2.069 0.341 0.309
Bi 0.000 0.000 0.000
N -0.397 -2.125 -0.308
```

Calculated values
* D(E_F): 4.51 states/eV per cell
* ρ: 9.17 g cm⁻³
* total moment: 1.01 μB per cell
* formation energy from raw total energies: 0.18 eV/atom
* space-group type: P4/mmm